(1)
The following is a DFT calculation (PBE) of a geometry-optimized Ba2BiPd3 structure.

a b c (Å): 9.364 9.550 16.127
angles (deg): 90.00 90.00 90.00
Space group Fmmm (No. 69)
Asymmetric unit:
Ba: 0.000 0.241 0.000
Ba: 0.250 0.250 0.250
Bi: 0.000 0.000 0.336
Pd: 0.000 0.000 0.166
Pd: 0.245 0.000 0.083

D(E_F), states/eV/atom: 0.6761
ΔH_f (0 K), meV per atom: -535.1
Relative energy among the computed polymorphs, meV/atom: 47


(2)
The following is a DFT calculation (PBE) of a geometry-optimized Ba2Bi3Pd2 structure.

a b c (Å): 5.180 21.788 7.637
angles (deg): 90.00 90.00 90.00
Space group Cmcm (No. 63)
Asymmetric unit:
Ba: 0.000 0.040 0.250
Ba: 0.000 0.163 0.750
Bi: 0.000 0.217 0.250
Bi: 0.000 0.424 0.043
Pd: 0.000 0.295 0.553

D(E_F), states/eV/atom: 0.4879
ΔH_f (0 K), meV per atom: -611.9
Relative energy among the computed polymorphs, meV/atom: 0


(3)
The following is a DFT calculation (PBE) of a geometry-optimized Ba2Bi7Pd12 structure.

a b c (Å): 10.6551 10.6551 4.8718
angles (deg): 90.00 90.00 120.00
Space group P-3 (No. 147)
Asymmetric unit:
Ba: 0.3333 0.6667 0.2174
Bi: 0.0000 0.0000 0.5000
Bi: 0.0950 0.7065 0.6885
Pd: 0.0580 0.4352 0.8049
Pd: 0.1203 0.8714 0.1694

D(E_F), states/eV/atom: 0.4855
ΔH_f (0 K), meV per atom: -407.4


(4)
The following is a DFT calculation (PBE) of a geometry-optimized Ba3Bi2Pd4 structure.

a b c (Å): 11.666 4.885 9.306
angles (deg): 90.00 98.23 90.00
Space group C2/m (No. 12)
Asymmetric unit:
Ba: 0.000 0.000 0.000
Ba: 0.128 0.500 0.383
Bi: 0.170 0.500 0.785
Pd: 0.079 0.000 0.628
Pd: 0.246 0.500 0.086

D(E_F), states/eV/atom: 0.4609
ΔH_f (0 K), meV per atom: -646.8


(5)
The following is a DFT calculation (PBE) of a geometry-optimized BaBi3Pd structure.

a b c (Å): 6.742 6.618 9.831
angles (deg): 90.00 133.27 90.00
Space group Pc (No. 7)
Asymmetric unit:
Ba: 0.000 0.160 0.000
Bi: 0.302 0.327 0.759
Bi: 0.444 0.105 0.500
Bi: 0.785 0.327 0.242
Pd: 0.738 0.391 0.501

D(E_F), states/eV/atom: 0.4731
ΔH_f (0 K), meV per atom: -483.2
Relative energy among the computed polymorphs, meV/atom: 0


(6)
The following is a DFT calculation (PBE) of a geometry-optimized BaBi3Pd2 structure.

a b c (Å): 8.1623 8.1623 19.0569
angles (deg): 90.00 90.00 120.00
Space group R-3m (No. 166, hexagonal axes)
Asymmetric unit:
Ba: 0.0000 0.0000 0.2219
Bi: 0.0134 0.5067 0.2555
Pd: 0.0000 0.0000 0.0000
Pd: 0.0000 0.5000 0.0000

D(E_F), states/eV/atom: 0.2368
ΔH_f (0 K), meV per atom: -458.6


(7)
The following is a DFT calculation (PBE) of a geometry-optimized Ba12Bi3Pd5 structure.

a b c (Å): 19.604 19.604 19.604
angles (deg): 90.00 90.00 90.00
Space group Ia-3d (No. 230)
Asymmetric unit:
Ba: 0.026 0.061 0.650
Bi: 0.000 0.250 0.125
Pd: 0.000 0.000 0.000
Pd: 0.000 0.250 0.375

D(E_F), states/eV/atom: 0.8281
ΔH_f (0 K), meV per atom: -485.9


(8)
The following is a DFT calculation (PBE) of a geometry-optimized Ba2Bi4Pd3 structure.

a b c (Å): 6.448 11.362 14.611
angles (deg): 90.00 90.00 90.00
Space group Fmmm (No. 69)
Asymmetric unit:
Ba: 0.000 0.000 0.135
Bi: 0.000 0.164 0.359
Pd: 0.000 0.000 0.500
Pd: 0.250 0.250 0.000

D(E_F), states/eV/atom: 0.5403
ΔH_f (0 K), meV per atom: -550.1